A geometry-optimized AcFe3C4O12 structure. Source: Alexandria via LeMat-Bulk, functional PBE with a Hubbard U.

## Properties
D(E_F), states/eV/cell: 4.17
E, eV per atom: -7.46
Space group: No. 155
M_tot, μB per atom: 0.550

a = 6.326 Å, b = 6.326 Å, c = 6.326 Å
α = 102.30°, β = 102.30°, γ = 102.30°
Site moments in Bohr magnetons follow the coordinates.
Atoms (fractional coordinates):
Ac (0.000, 0.000, 0.000)  -0.02
Fe (0.544, 0.456, 0.000)  3.66
Fe (0.456, 0.000, 0.544)  3.66
Fe (0.000, 0.544, 0.456)  3.66
C (0.954, 0.046, 0.500)  -0.07
C (0.046, 0.500, 0.954)  -0.07
C (0.500, 0.954, 0.046)  -0.07
C (0.500, 0.500, 0.500)  0.00
O (0.500, 0.368, 0.632)  0.04
O (0.913, 0.500, 0.087)  0.03
O (0.087, 0.913, 0.500)  0.03
O (0.500, 0.087, 0.913)  0.03
O (0.382, 0.970, 0.192)  0.01
O (0.192, 0.382, 0.970)  0.01
O (0.970, 0.192, 0.382)  0.01
O (0.618, 0.808, 0.030)  0.01
O (0.030, 0.618, 0.808)  0.01
O (0.808, 0.030, 0.618)  0.01
O (0.632, 0.500, 0.368)  0.04
O (0.368, 0.632, 0.500)  0.04